Record 1
The following is a DFT calculation (GGA-PBE) of a relaxed Pm2ErPuS4 crystal.

spin magnetization	5.69	μB per formula unit
calculated total energy	-60.64	eV per cell

Lattice parameters (Å, degrees): 6.8743 3.9516 6.9044 90.00 109.15 90.00
Element x y z (fractional)
Pm 0.0000 0.0000 0.0000
Pm 0.5000 0.5000 0.0000
Er 0.0000 0.5000 0.5000
Pu 0.5000 0.0000 0.5000
S 0.2421 0.0000 0.7375
S 0.2502 0.5000 0.2602
S 0.7498 0.5000 0.7398
S 0.7579 0.0000 0.2626


Record 2
The following is a DFT calculation (GGA-PBE) of a relaxed Pm3ErPu3S8 crystal.

spin magnetization	16.84	μB per formula unit
calculated total energy	-123.99	eV per cell

Lattice parameters (Å, degrees): 7.9845 7.9845 7.9845 59.80 59.80 59.80
Element x y z (fractional)
Pm 0.0000 0.5000 0.5000
Pm 0.5000 0.0000 0.5000
Pm 0.5000 0.5000 0.0000
Er 0.5000 0.5000 0.5000
Pu 0.0000 0.0000 0.5000
Pu 0.0000 0.5000 0.0000
Pu 0.5000 0.0000 0.0000
S 0.2472 0.2472 0.2472
S 0.2529 0.7436 0.7436
S 0.2564 0.2564 0.7471
S 0.2564 0.7471 0.2564
S 0.7436 0.2529 0.7436
S 0.7436 0.7436 0.2529
S 0.7471 0.2564 0.2564
S 0.7528 0.7528 0.7528


Record 3
The following is a DFT calculation (GGA-PBE) of a relaxed PmEr3Pu2S6 crystal.

spin magnetization	11.52	μB per formula unit
calculated total energy	-95.08	eV per cell

Lattice parameters (Å, degrees): 6.7742 6.7742 6.8350 99.49 99.49 120.04
Element x y z (fractional)
Pm 0.0000 0.0000 0.0000
Er 0.1653 0.8347 0.5000
Er 0.5000 0.5000 0.5000
Er 0.8347 0.1653 0.5000
Pu 0.3332 0.6668 0.0000
Pu 0.6668 0.3332 0.0000
S 0.0869 0.4246 0.2603
S 0.2512 0.2512 0.7401
S 0.4246 0.0869 0.2603
S 0.5754 0.9131 0.7397
S 0.7488 0.7488 0.2599
S 0.9131 0.5754 0.7397


Record 4
The following is a DFT calculation (GGA-PBE) of a relaxed PmErPu2Sb4 crystal.

spin magnetization	10.07	μB per formula unit
calculated total energy	-61.37	eV per cell

Lattice parameters (Å, degrees): 7.6491 4.4300 7.6699 90.00 109.54 90.00
Element x y z (fractional)
Pm 0.0000 0.0000 0.0000
Er 0.0000 0.5000 0.5000
Pu 0.5000 0.0000 0.5000
Pu 0.5000 0.5000 0.0000
Sb 0.2503 0.0000 0.7456
Sb 0.2536 0.5000 0.2557
Sb 0.7464 0.5000 0.7443
Sb 0.7497 0.0000 0.2544


Record 5
The following is a DFT calculation (GGA-PBE) of a relaxed Pm2ErPu3Se6 crystal.

spin magnetization	19.89	μB per formula unit
calculated total energy	-94.87	eV per cell

Lattice parameters (Å, degrees): 8.8135 8.8135 8.8135 146.40 131.78 60.05
Element x y z (fractional)
Pm 0.1662 0.1662 0.0000
Pm 0.8338 0.8338 0.0000
Er 0.5000 0.5000 0.0000
Pu 0.0000 0.5000 0.5000
Pu 0.3341 0.8341 0.5000
Pu 0.6659 0.1659 0.5000
Se 0.0880 0.3352 0.7527
Se 0.2548 0.0000 0.2548
Se 0.4175 0.6648 0.7527
Se 0.5825 0.3352 0.2473
Se 0.7452 0.0000 0.7452
Se 0.9120 0.6648 0.2473


Record 6
The following is a DFT calculation (GGA-PBE) of a relaxed PmErPu2Se4 crystal.

spin magnetization	0.11	μB per formula unit
calculated total energy	-65.21	eV per cell

Lattice parameters (Å, degrees): 7.1083 4.1217 7.2182 90.00 109.45 90.00
Element x y z (fractional)
Pm 0.0000 0.0000 0.0000
Er 0.0000 0.5000 0.5000
Pu 0.5000 0.0000 0.5000
Pu 0.5000 0.5000 0.0000
Se 0.2454 0.0000 0.7430
Se 0.2504 0.5000 0.2570
Se 0.7496 0.5000 0.7430
Se 0.7546 0.0000 0.2570